LaMgSi2: relaxed, PBE-GGA.

Calculated volume, Å³/cell: 84.69
Density, g/cm3: 4.3
Formation energy (no corrections), eV per atom: -0.27
Electronic total energy, eV/atom: -4.608

a b c (Å): 3.585 3.585 6.590
angles (deg): 90.00 90.00 90.00
Fractional coordinates of all 4 atoms:
1 La 0.000 0.000 0.000
2 Mg 0.000 0.000 0.500
3 Si 0.500 0.500 0.312
4 Si 0.500 0.500 0.688